Material: ScSeO2F
Method: DFT, PBE-GGA
State: optimized geometry

Cell lengths 3.930, 3.930, 4.648 Å; angles 90.00, 90.00, 90.00 degrees
Positions (direct):
Sc (0.500, 0.500, 0.500)
O (0.000, 0.500, 0.000)
O (0.500, 0.000, 0.000)
Se (0.000, 0.000, 0.000)
F (0.000, 0.000, 0.500)

magnetic moment = 0.2081 μB per atom
space-group type = No. 123
E_tot = -25.87 eV/cell
raw formation energy = -0.853 eV/atom